(1)
Density functional theory data (PBE-GGA) for YCoOs after structural relaxation. Values from VASP.

Properties
ΔE_f = 0.65 eV/atom
Total DFT energy (no corrections) = -22.8 eV per cell
Distance to the lowest polymorph of the same formula = 0.903 eV/atom
Space group = P3m1 (156)
Size of the total moment = 1.14 Bohr magnetons per cell

```
&SYSTEM
  ibrav = 0, nat = 3, ntyp = 3
/
ATOMIC_SPECIES
Co 58.93 Co.upf
Os 190.23 Os.upf
Y 88.91 Y.upf
CELL_PARAMETERS angstrom
2.891 0.000 0.000
-1.446 2.504 0.000
0.000 0.000 6.957
ATOMIC_POSITIONS crystal
Co 0.000 0.000 0.027
Os 0.333 0.667 0.300
Y 0.667 0.333 0.673
```

---

(2)
Density functional theory data (PBE-GGA) for Ca6Hg2AuN after structural relaxation. Values from VASP.

Properties
Energy relative to the elements, uncorrected = -0.60 eV/atom
Total DFT energy (no corrections) = -60.4 eV per cell
Space group = P2_1/c (14)
Size of the total moment = 0.00 Bohr magnetons per cell

```
&SYSTEM
  ibrav = 0, nat = 20, ntyp = 4
/
ATOMIC_SPECIES
Ca 40.08 Ca.upf
Hg 200.59 Hg.upf
Au 196.97 Au.upf
N 14.01 N.upf
CELL_PARAMETERS angstrom
7.117 0.000 0.145
0.000 7.622 0.000
0.269 0.000 10.358
ATOMIC_POSITIONS crystal
Ca 0.162 0.220 0.044
Ca 0.712 0.330 0.956
Ca 0.100 0.480 0.772
Ca 0.212 0.170 0.456
Ca 0.338 0.720 0.456
Ca 0.838 0.780 0.956
Ca 0.788 0.830 0.544
Ca 0.662 0.280 0.544
Ca 0.288 0.670 0.044
Ca 0.400 0.980 0.728
Ca 0.900 0.520 0.228
Ca 0.600 0.020 0.272
Hg 0.033 0.921 0.250
Hg 0.967 0.079 0.750
Hg 0.467 0.421 0.250
Hg 0.533 0.579 0.750
Au 0.500 0.000 0.000
Au 0.000 0.500 0.500
N 0.000 0.500 0.000
N 0.500 0.000 0.500
```

---

(3)
Density functional theory data (PBE-GGA) for NaPu3Pt8 after structural relaxation. Values from VASP.

Properties
ΔE_f = -0.75 eV/atom
Total DFT energy (no corrections) = -101.6 eV per cell
Space group = R3m (160)
Size of the total moment = 15.52 Bohr magnetons per cell

```
&SYSTEM
  ibrav = 0, nat = 12, ntyp = 3
/
ATOMIC_SPECIES
Pt 195.08 Pt.upf
Na 22.99 Na.upf
Pu 244.00 Pu.upf
CELL_PARAMETERS angstrom
5.203 -0.001 1.571
2.364 4.635 1.571
0.001 0.001 9.402
ATOMIC_POSITIONS crystal
Pt 0.939 0.437 0.187
Pt 0.437 0.437 0.187
Pt 0.938 0.938 0.688
Pt 0.687 0.687 0.938
Pt 0.938 0.436 0.688
Pt 0.437 0.939 0.187
Pt 0.436 0.938 0.688
Pt 0.188 0.188 0.437
Na 0.874 0.874 0.378
Pu 0.376 0.376 0.872
Pu 0.503 0.503 0.493
Pu 0.998 0.998 0.007
```

---

(4)
Density functional theory data (PBE-GGA) for InGa2Pd4 after structural relaxation. Values from VASP.

Properties
ΔE_f = 0.23 eV/atom
Total DFT energy (no corrections) = -27.9 eV per cell
Distance to the lowest polymorph of the same formula = 0.680 eV/atom
Space group = I4/mmm (139)
Size of the total moment = 0.00 Bohr magnetons per cell

```
&SYSTEM
  ibrav = 0, nat = 7, ntyp = 3
/
ATOMIC_SPECIES
Pd 106.42 Pd.upf
Ga 69.72 Ga.upf
In 114.82 In.upf
CELL_PARAMETERS angstrom
4.919 0.000 0.000
0.000 4.919 0.000
2.459 2.459 6.331
ATOMIC_POSITIONS crystal
Pd 0.210 0.210 0.581
Pd 0.500 0.000 0.000
Pd 0.000 0.500 0.000
Pd 0.790 0.790 0.419
Ga 0.398 0.398 0.205
Ga 0.602 0.602 0.795
In 0.000 0.000 0.000
```

---

(5)
Density functional theory data (PBE-GGA) for YGa2Tc2P after structural relaxation. Values from VASP.

Properties
ΔE_f = -0.45 eV/atom
Total DFT energy (no corrections) = -41.4 eV per cell
Space group = P4/mmm (123)
Size of the total moment = 0.00 Bohr magnetons per cell

```
&SYSTEM
  ibrav = 0, nat = 6, ntyp = 4
/
ATOMIC_SPECIES
Tc 98.00 Tc.upf
Ga 69.72 Ga.upf
Y 88.91 Y.upf
P 30.97 P.upf
CELL_PARAMETERS angstrom
-1.805 -0.606 4.016
-2.505 -3.293 -1.623
3.995 -3.653 1.244
ATOMIC_POSITIONS crystal
Tc 0.000 0.500 0.000
Tc 0.500 0.000 0.000
Ga 0.500 0.500 0.726
Ga 0.500 0.500 0.274
Y 0.000 0.000 0.500
P 0.000 0.000 0.000
```

---

(6)
Density functional theory data (PBE-GGA) for GaNi4Pt after structural relaxation. Values from VASP.

Properties
ΔE_f = -0.16 eV/atom
Total DFT energy (no corrections) = -66.3 eV per cell
Distance to the lowest polymorph of the same formula = 0.000 eV/atom
Space group = Imma (74)
Size of the total moment = 3.09 Bohr magnetons per cell

```
&SYSTEM
  ibrav = 0, nat = 12, ntyp = 3
/
ATOMIC_SPECIES
Ni 58.69 Ni.upf
Pt 195.08 Pt.upf
Ga 69.72 Ga.upf
CELL_PARAMETERS angstrom
4.428 0.000 0.000
0.000 4.251 -0.006
-2.214 -2.110 7.858
ATOMIC_POSITIONS crystal
Ni 0.230 0.662 0.825
Ni 0.595 0.162 0.825
Ni 0.770 0.338 0.175
Ni 0.969 0.916 0.333
Ni 0.636 0.584 0.667
Ni 0.405 0.838 0.175
Ni 0.364 0.416 0.333
Ni 0.031 0.084 0.667
Pt 0.193 0.250 0.000
Pt 0.807 0.750 0.000
Ga 0.000 0.500 0.500
Ga 0.500 0.000 0.500
```

---

(7)
Density functional theory data (PBE-GGA) for Ac6TbCd2 after structural relaxation. Values from VASP.

Properties
ΔE_f = -0.10 eV/atom
Total DFT energy (no corrections) = -32.0 eV per cell
Space group = C2/m (12)
Size of the total moment = 0.00 Bohr magnetons per cell

```
&SYSTEM
  ibrav = 0, nat = 9, ntyp = 3
/
ATOMIC_SPECIES
Cd 112.41 Cd.upf
Ac 227.00 Ac.upf
Tb 158.93 Tb.upf
CELL_PARAMETERS angstrom
-2.516 1.101 -2.958
-6.339 -3.111 1.480
-6.691 9.011 6.292
ATOMIC_POSITIONS crystal
Cd 0.360 0.099 0.182
Cd 0.640 0.901 0.818
Ac 0.313 0.780 0.593
Ac 0.680 0.519 0.121
Ac 0.687 0.220 0.407
Ac 0.029 0.272 0.670
Ac 0.971 0.728 0.330
Ac 0.320 0.481 0.879
Tb 0.000 0.000 0.000
```

---

(8)
Density functional theory data (PBE-GGA) for NaLiLaZn after structural relaxation. Values from VASP.

Properties
ΔE_f = 0.03 eV/atom
Total DFT energy (no corrections) = -9.3 eV per cell
Space group = F-43m (216)
Size of the total moment = 0.00 Bohr magnetons per cell

```
&SYSTEM
  ibrav = 0, nat = 4, ntyp = 4
/
ATOMIC_SPECIES
Zn 65.41 Zn.upf
La 138.91 La.upf
Li 6.94 Li.upf
Na 22.99 Na.upf
CELL_PARAMETERS angstrom
5.243 0.000 0.000
2.621 4.540 0.000
2.621 1.513 4.281
ATOMIC_POSITIONS crystal
Zn 0.000 0.000 0.000
La 0.750 0.750 0.750
Li 0.500 0.500 0.500
Na 0.250 0.250 0.250
```

---

(9)
Density functional theory data (PBE-GGA) for PrNd2ErTm5 after structural relaxation. Values from VASP.

Properties
ΔE_f = 0.26 eV/atom
Total DFT energy (no corrections) = -77.7 eV per cell
Space group = I4/mcm (140)
Size of the total moment = 0.00 Bohr magnetons per cell

```
&SYSTEM
  ibrav = 0, nat = 18, ntyp = 4
/
ATOMIC_SPECIES
Tm 168.93 Tm.upf
Nd 144.24 Nd.upf
Er 167.26 Er.upf
Pr 140.91 Pr.upf
CELL_PARAMETERS angstrom
8.709 0.000 0.000
0.000 8.709 0.000
-4.355 -4.355 7.652
ATOMIC_POSITIONS crystal
Tm 0.848 0.927 0.275
Tm 0.073 0.573 0.725
Tm 0.652 0.152 0.725
Tm 0.573 0.652 0.725
Tm 0.927 0.427 0.275
Tm 0.348 0.848 0.275
Tm 0.427 0.348 0.275
Tm 0.500 0.500 0.000
Tm 0.000 0.000 0.000
Tm 0.152 0.073 0.725
Nd 0.616 0.116 0.000
Nd 0.884 0.616 0.000
Nd 0.116 0.384 0.000
Nd 0.384 0.884 0.000
Er 0.250 0.750 0.500
Er 0.750 0.250 0.500
Pr 0.750 0.750 0.500
Pr 0.250 0.250 0.500
```

---

(10)
Density functional theory data (PBE-GGA) for BaPPd3 after structural relaxation. Values from VASP.

Properties
ΔE_f = 1.37 eV/atom
Total DFT energy (no corrections) = -16.0 eV per cell
Distance to the lowest polymorph of the same formula = 2.088 eV/atom
Space group = Pm-3m (221)
Size of the total moment = 0.00 Bohr magnetons per cell

```
&SYSTEM
  ibrav = 0, nat = 5, ntyp = 3
/
ATOMIC_SPECIES
Ba 137.33 Ba.upf
Pd 106.42 Pd.upf
P 30.97 P.upf
CELL_PARAMETERS angstrom
5.304 0.000 0.000
0.000 5.304 0.000
0.000 0.000 5.304
ATOMIC_POSITIONS crystal
Ba 0.000 0.000 0.000
Pd 0.000 0.000 0.500
Pd 0.000 0.500 0.000
Pd 0.500 0.000 0.000
P 0.500 0.500 0.500
```

---

(11)
Density functional theory data (PBE-GGA) for Ca3DyPt8 after structural relaxation. Values from VASP.

Properties
ΔE_f = -0.99 eV/atom
Total DFT energy (no corrections) = -70.8 eV per cell
Space group = R3m (160)
Size of the total moment = 0.00 Bohr magnetons per cell

```
&SYSTEM
  ibrav = 0, nat = 12, ntyp = 3
/
ATOMIC_SPECIES
Dy 162.50 Dy.upf
Pt 195.08 Pt.upf
Ca 40.08 Ca.upf
CELL_PARAMETERS angstrom
5.228 0.000 1.578
2.376 4.657 1.578
0.012 0.008 9.407
ATOMIC_POSITIONS crystal
Dy 0.876 0.876 0.372
Pt 0.441 0.938 0.684
Pt 0.437 0.934 0.191
Pt 0.934 0.437 0.191
Pt 0.437 0.437 0.191
Pt 0.938 0.938 0.684
Pt 0.687 0.687 0.938
Pt 0.938 0.441 0.684
Pt 0.187 0.187 0.438
Ca 0.374 0.374 0.877
Ca 0.498 0.498 0.506
Ca 0.002 0.002 0.994
```

---

(12)
Density functional theory data (PBE-GGA) for RbAgRu2 after structural relaxation. Values from VASP.

Properties
ΔE_f = 1.26 eV/atom
Total DFT energy (no corrections) = -34.7 eV per cell
Distance to the lowest polymorph of the same formula = 0.000 eV/atom
Space group = I-42d (122)
Size of the total moment = 0.00 Bohr magnetons per cell

```
&SYSTEM
  ibrav = 0, nat = 8, ntyp = 3
/
ATOMIC_SPECIES
Ru 101.07 Ru.upf
Rb 85.47 Rb.upf
Ag 107.87 Ag.upf
CELL_PARAMETERS angstrom
-3.383 1.153 2.808
2.358 -1.650 3.518
3.763 8.868 4.573
ATOMIC_POSITIONS crystal
Ru 0.875 0.068 0.750
Ru 0.932 0.625 0.250
Ru 0.818 0.125 0.250
Ru 0.375 0.182 0.750
Rb 0.250 0.750 0.500
Rb 0.500 0.500 0.000
Ag 0.000 0.000 0.000
Ag 0.750 0.250 0.500
```

---

(13)
Density functional theory data (PBE-GGA) for Pm4NdGa4 after structural relaxation. Values from VASP.

Properties
ΔE_f = -0.39 eV/atom
Total DFT energy (no corrections) = -78.8 eV per cell
Space group = I4/m (87)
Size of the total moment = 0.00 Bohr magnetons per cell

```
&SYSTEM
  ibrav = 0, nat = 18, ntyp = 3
/
ATOMIC_SPECIES
Pm 145.00 Pm.upf
Ga 69.72 Ga.upf
Nd 144.24 Nd.upf
CELL_PARAMETERS angstrom
-3.616 -1.389 2.967
-2.221 -7.772 -6.344
6.532 -6.052 5.128
ATOMIC_POSITIONS crystal
Pm 0.500 0.367 0.855
Pm 0.000 0.867 0.355
Pm 0.000 0.645 0.867
Pm 0.000 0.355 0.133
Pm 0.500 0.633 0.145
Pm 0.500 0.855 0.633
Pm 0.000 0.133 0.645
Pm 0.500 0.145 0.367
Ga 0.000 0.671 0.571
Ga 0.000 0.329 0.429
Ga 0.000 0.571 0.329
Ga 0.500 0.171 0.071
Ga 0.500 0.929 0.171
Ga 0.000 0.429 0.671
Ga 0.500 0.071 0.829
Ga 0.500 0.829 0.929
Nd 0.500 0.500 0.500
Nd 0.000 0.000 0.000
```

---

(14)
Density functional theory data (PBE-GGA) for CsZnSbH2 after structural relaxation. Values from VASP.

Properties
Total DFT energy (no corrections) = -13.4 eV per cell
Distance to the lowest polymorph of the same formula = 0.098 eV/atom
Space group = P1 (1)
Size of the total moment = 0.00 Bohr magnetons per cell

```
&SYSTEM
  ibrav = 0, nat = 5, ntyp = 4
/
ATOMIC_SPECIES
H 1.01 H.upf
Zn 65.41 Zn.upf
Sb 121.76 Sb.upf
Cs 132.91 Cs.upf
CELL_PARAMETERS angstrom
4.625 0.001 0.083
-0.031 5.313 0.017
-0.473 -0.154 6.327
ATOMIC_POSITIONS crystal
H 0.373 0.528 0.206
H 0.923 0.384 0.879
Zn 0.388 0.478 0.455
Sb 0.903 0.539 0.638
Cs 0.433 0.016 0.970
```

---

(15)
Density functional theory data (PBE-GGA) for SmPu2N after structural relaxation. Values from VASP.

Properties
Energy relative to the elements, uncorrected = 0.04 eV/atom
Total DFT energy (no corrections) = -41.5 eV per cell
Space group = R-3m (166)
Size of the total moment = 0.00 Bohr magnetons per cell

```
&SYSTEM
  ibrav = 0, nat = 4, ntyp = 3
/
ATOMIC_SPECIES
Pu 244.00 Pu.upf
N 14.01 N.upf
Sm 150.36 Sm.upf
CELL_PARAMETERS angstrom
3.959 0.000 0.000
1.979 3.428 0.000
1.979 1.143 6.370
ATOMIC_POSITIONS crystal
Pu 0.311 0.311 0.067
Pu 0.689 0.689 0.933
N 0.000 0.000 0.000
Sm 0.500 0.500 0.500
```

---

(16)
Density functional theory data (PBE-GGA) for BaTb4Mg5 after structural relaxation. Values from VASP.

Properties
ΔE_f = -0.06 eV/atom
Total DFT energy (no corrections) = -29.1 eV per cell
Space group = P4/mmm (123)
Size of the total moment = 0.00 Bohr magnetons per cell

```
&SYSTEM
  ibrav = 0, nat = 10, ntyp = 3
/
ATOMIC_SPECIES
Mg 24.30 Mg.upf
Tb 158.93 Tb.upf
Ba 137.33 Ba.upf
CELL_PARAMETERS angstrom
-0.097 3.773 -0.747
-3.704 -0.293 -0.999
-5.414 3.625 19.008
ATOMIC_POSITIONS crystal
Mg 0.500 0.500 0.314
Mg 0.500 0.500 0.500
Mg 0.500 0.500 0.871
Mg 0.500 0.500 0.686
Mg 0.500 0.500 0.129
Tb 0.000 0.000 0.593
Tb 0.000 0.000 0.407
Tb 0.000 0.000 0.224
Tb 0.000 0.000 0.776
Ba 0.000 0.000 0.000
```